# 1
The following is a DFT calculation (PBE) of a relaxed structure of Sr2TePt.

Structure (POSCAR):
```
Sr2TePt
1.0
-0.020 5.473 -3.774
-5.516 2.370 -2.855
2.195 -2.142 5.898
Pt Sr Te
1 2 1
Cartesian
-0.296 3.626 -0.595
0.000 0.000 0.000
-3.044 2.075 -0.136
-2.768 3.922 -3.314
```

magnetic moment: 0.000 μB per formula unit
SG: No. 119
E: -4.039 eV/atom
energy relative to the elements, uncorrected: -0.90 eV per atom



# 2
The following is a DFT calculation (PBE) of a relaxed structure of LiSnHgF6.

Structure (POSCAR):
```
LiSnHgF6
1.0
-3.619 -3.839 1.496
3.744 1.785 3.587
-7.037 7.954 3.386
Li Sn Hg F
2 2 2 12
Cartesian
-0.470 1.899 3.737
-6.443 4.002 4.733
-2.924 0.024 3.040
-3.988 5.876 5.430
0.000 0.000 0.000
-3.519 3.977 1.693
-1.016 -0.120 3.679
-3.257 -1.947 3.313
-2.205 5.522 6.304
-3.656 7.848 5.157
-2.454 1.986 3.076
-3.720 0.092 4.893
-4.522 6.145 7.357
-4.708 0.379 2.166
-3.192 5.809 3.577
-2.390 -0.244 1.113
-4.459 3.915 5.394
-5.896 6.021 4.791
```

magnetic moment: 0.488 μB per formula unit
SG: No. 163
E: -4.170 eV/atom
energy relative to the elements, uncorrected: -2.23 eV per atom



# 3
The following is a DFT calculation (PBE) of a relaxed structure of CeNdPa.

Structure (POSCAR):
```
CeNdPa
1.0
-1.660 2.831 -0.313
-1.682 -0.682 2.752
7.178 2.628 3.062
Pa Nd Ce
1 1 1
Cartesian
3.630 2.441 2.822
3.741 4.713 5.427
0.302 2.401 2.754
```

magnetic moment: 0.181 μB per formula unit
SG: No. 107
E: -6.576 eV/atom
E_form: 0.16 eV per atom



# 4
The following is a DFT calculation (PBE) of a relaxed structure of Pa2BePdN5.

Structure (POSCAR):
```
Pa2BePdN5
1.0
3.313 0.000 0.000
-1.657 6.606 0.000
0.000 0.000 9.421
Pa Be Pd N
4 2 2 10
Cartesian
1.657 4.973 7.545
0.000 1.666 6.556
0.000 1.633 2.835
1.657 4.940 1.845
1.657 0.166 9.228
0.000 6.440 4.517
1.657 3.942 4.749
0.000 2.663 0.039
0.000 4.858 0.154
1.657 2.646 7.897
0.000 6.577 7.447
0.000 3.956 6.258
1.657 6.065 5.032
1.657 1.748 4.864
0.000 3.960 3.187
1.657 0.029 2.736
1.657 2.650 1.547
0.000 0.541 0.322
```

magnetic moment: 0.000 μB per formula unit
SG: No. 36
E: -8.547 eV/atom
energy relative to the elements, uncorrected: -0.82 eV per atom



# 5
The following is a DFT calculation (PBE) of a relaxed structure of Th3Ni2Ir7.

Structure (POSCAR):
```
Th3Ni2Ir7
1.0
5.123 0.000 1.603
2.310 4.572 1.603
-0.040 -0.025 9.114
Th Ni Ir
3 2 7
Cartesian
0.000 0.000 0.000
6.385 3.927 6.555
1.007 0.620 5.766
4.951 3.045 2.152
2.442 1.502 10.169
3.696 2.274 6.160
5.692 1.909 4.324
4.271 4.219 4.324
3.104 1.909 3.514
1.701 2.638 7.996
4.289 2.638 8.806
3.122 0.328 7.996
```

magnetic moment: 0.000 μB per formula unit
SG: No. 166
E: -8.676 eV/atom
E_form: -0.69 eV per atom



# 6
The following is a DFT calculation (PBE) of a relaxed structure of TaTiMnRh.

Structure (POSCAR):
```
TaTiMnRh
1.0
-2.064 3.630 -1.291
-4.197 0.619 1.051
-1.092 3.053 2.931
Ti Mn Rh Ta
1 1 1 1
Cartesian
-1.838 1.825 0.672
0.000 0.000 0.000
-3.677 3.651 1.345
-5.515 5.476 2.017
```

magnetic moment: 0.011 μB per formula unit
SG: No. 216
E: -9.462 eV/atom
E_form: -0.39 eV per atom



# 7
The following is a DFT calculation (PBE) of a relaxed structure of LiEuGePt.

Structure (POSCAR):
```
LiEuGePt
1.0
-4.036 -0.807 2.364
-0.262 -3.593 3.091
-0.241 0.888 4.657
Eu Ge Pt Li
1 1 1 1
Cartesian
0.000 0.000 0.000
-2.269 -1.756 5.056
-1.135 -0.878 2.528
-3.404 -2.634 7.584
```

magnetic moment: 6.701 μB per formula unit
SG: No. 216
E: -6.268 eV/atom
E_form: -0.56 eV per atom



# 8
The following is a DFT calculation (PBE) of a relaxed structure of Tc2RuBr.

Structure (POSCAR):
```
Tc2RuBr
1.0
4.493 0.000 0.000
0.000 3.719 0.000
0.000 0.000 3.719
Ru Tc Br
1 2 1
Cartesian
2.247 0.000 1.860
0.000 0.000 0.000
0.000 1.860 1.860
2.247 1.860 0.000
```

magnetic moment: 0.000 μB per formula unit
SG: No. 123
E: -6.763 eV/atom
energy relative to the elements, uncorrected: 1.16 eV per atom



# 9
The following is a DFT calculation (PBE) of a relaxed structure of ReHgW.

Structure (POSCAR):
```
ReHgW
1.0
-2.151 -0.622 -1.916
0.818 -2.004 2.000
-4.741 2.552 4.496
Hg Re W
1 1 1
Cartesian
-0.005 0.003 0.005
-2.866 -0.166 1.005
-3.204 0.088 3.570
```

magnetic moment: 0.000 μB per formula unit
SG: No. 156
E: -7.991 eV/atom
E_form: 0.58 eV per atom



# 10
The following is a DFT calculation (PBE) of a relaxed structure of TaAsRh2.

Structure (POSCAR):
```
TaAsRh2
1.0
-2.778 -0.588 1.707
1.231 -4.201 0.554
1.975 1.051 3.576
As Rh Ta
1 2 1
Cartesian
1.603 -1.575 2.065
0.000 0.000 0.000
-0.774 -2.395 1.131
-0.401 0.231 2.642
```

magnetic moment: 0.000 μB per formula unit
SG: No. 47
E: -8.063 eV/atom
E_form: -0.26 eV per atom



# 11
The following is a DFT calculation (PBE) of a relaxed structure of BeRh2.

Structure (POSCAR):
```
BeRh2
1.0
-1.175 -3.980 -2.809
-3.629 -3.124 1.475
-4.357 -0.124 -2.471
Be Rh
2 4
Cartesian
-4.581 -3.614 -1.902
-6.871 -5.420 -2.853
-1.733 -2.893 -1.880
-2.960 -2.465 0.262
-3.324 -0.965 -1.711
-1.145 -0.903 -0.476
```

magnetic moment: 0.002 μB per formula unit
SG: No. 227
E: -5.646 eV/atom
E_form: 0.50 eV per atom



Density of states at the Fermi level
In order: 0.03 0.34 2.19 0.31 0.66 0.95 2.79 1.33 1.00 0.75 1.37
Unit: states/eV/atom